Here is a geometry-optimized Zr2MnCl structure from the Alexandria database. Energies are from PBEsol.

POSCAR file:
```
Zr2MnCl
1.0
2.151 -2.170 0.000
2.151 2.170 0.000
0.000 0.000 7.460
Zr Mn Cl
2 1 1
Direct
0.000 0.000 0.210
0.000 0.000 0.790
0.500 0.500 0.000
0.500 0.500 0.500
```

=====

Here is a geometry-optimized Cr2BiN structure from the Alexandria database. Energies are from PBEsol.

POSCAR file:
```
Cr2BiN
1.0
0.000 3.141 3.141
3.141 0.000 3.141
3.141 3.141 0.000
Cr Bi N
2 1 1
Direct
0.250 0.250 0.250
0.750 0.750 0.750
0.000 0.000 0.000
0.500 0.500 0.500
```

=====

| no. | formation energy (no corrections) (kJ per mole of atoms) | M_tot (μB/f.u.) | E (eV/atom) |
| --- | --- | --- | --- |
| 1 | -41.2 | 0.00 | -7.914 |
| 2 | 126.1 | 6.22 | -7.017 |